# 1
A relaxed structure of CaEr2Zn2Ge2. Source: Alexandria via LeMat-Bulk, functional PBE.

As for the volume: 167.0 Å³ per cell. For the density of states at the Fermi level, the calculation gives 0.676 states/eV/atom. As for the space group: R-3m (166). The calculation puts the raw total energy at -0.1341 hartree per atom. As for the mass density: 6.471 g/cm³. Its crystal system is trigonal.

abc: 11.3317 11.3317 11.3317
angles: 21.22 21.22 21.22
Element x y z (fractional)
Ca 0.0000 0.0000 0.0000
Er 0.1240 0.1240 0.1240
Er 0.8760 0.8760 0.8760
Zn 0.4032 0.4032 0.4032
Zn 0.5968 0.5968 0.5968
Ge 0.2695 0.2695 0.2695
Ge 0.7305 0.7305 0.7305

***

# 2
A relaxed structure of CaErZnGe. Source: Alexandria via LeMat-Bulk, functional PBE.

As for the volume: 365.2 Å³ per cell. For the density of states at the Fermi level, the calculation gives 0.865 states/eV/atom. As for the space group: F-43m (216). The calculation puts the raw total energy at -0.1309 hartree per atom. As for the mass density: 6.281 g/cm³. Its crystal system is cubic.

abc: 7.1481 7.1481 7.1481
angles: 90.00 90.00 90.00
Element x y z (fractional)
Ca 0.0000 0.0000 0.0000
Ca 0.0000 0.5000 0.5000
Ca 0.5000 0.0000 0.5000
Ca 0.5000 0.5000 0.0000
Er 0.0000 0.0000 0.5000
Er 0.0000 0.5000 0.0000
Er 0.5000 0.0000 0.0000
Er 0.5000 0.5000 0.5000
Zn 0.2500 0.2500 0.2500
Zn 0.2500 0.7500 0.7500
Zn 0.7500 0.2500 0.7500
Zn 0.7500 0.7500 0.2500
Ge 0.2500 0.2500 0.7500
Ge 0.2500 0.7500 0.2500
Ge 0.7500 0.2500 0.2500
Ge 0.7500 0.7500 0.7500

***

# 3
A relaxed structure of Ca2ErH. Source: Alexandria via LeMat-Bulk, functional PBE.

As for the volume: 324.7 Å³ per cell. For the density of states at the Fermi level, the calculation gives 1.159 states/eV/atom. As for the space group: R-3m (166). The calculation puts the raw total energy at -0.1059 hartree per atom. As for the mass density: 3.812 g/cm³. Its crystal system is trigonal.

abc: 3.5627 3.5627 29.5358
angles: 90.00 90.00 120.00
Element x y z (fractional)
Ca 0.0000 0.0000 0.1163
Ca 0.0000 0.0000 0.8837
Ca 0.3333 0.6667 0.5504
Ca 0.3333 0.6667 0.7830
Ca 0.6667 0.3333 0.2170
Ca 0.6667 0.3333 0.4496
Er 0.0000 0.0000 0.0000
Er 0.3333 0.6667 0.6667
Er 0.6667 0.3333 0.3333
H 0.0000 0.0000 0.5000
H 0.3333 0.6667 0.1667
H 0.6667 0.3333 0.8333

***

# 4
A relaxed structure of CaEr2H. Source: Alexandria via LeMat-Bulk, functional PBE.

As for the volume: 307.2 Å³ per cell. For the density of states at the Fermi level, the calculation gives 1.132 states/eV/atom. As for the space group: R-3m (166). The calculation puts the raw total energy at -0.1334 hartree per atom. As for the mass density: 6.091 g/cm³. Its crystal system is trigonal.

abc: 3.5459 3.5459 28.2137
angles: 90.00 90.00 120.00
Element x y z (fractional)
Ca 0.0000 0.0000 0.0000
Ca 0.3333 0.6667 0.6667
Ca 0.6667 0.3333 0.3333
Er 0.0000 0.0000 0.1200
Er 0.0000 0.0000 0.8800
Er 0.3333 0.6667 0.5467
Er 0.3333 0.6667 0.7867
Er 0.6667 0.3333 0.2133
Er 0.6667 0.3333 0.4533
H 0.0000 0.0000 0.5000
H 0.3333 0.6667 0.1667
H 0.6667 0.3333 0.8333

***

# 5
A relaxed structure of Ca5Er3H12. Source: Alexandria via LeMat-Bulk, functional PBE.

As for the volume: 1140.1 Å³ per cell. For the density of states at the Fermi level, the calculation gives 0.533 states/eV/atom. As for the space group: Ia-3d (230). The calculation puts the raw total energy at -0.1312 hartree per atom. As for the mass density: 4.161 g/cm³. Its crystal system is cubic.

abc: 11.3987 11.3987 11.3987
angles: 109.47 109.47 109.47
Element x y z (fractional)
Ca 0.0000 0.0000 0.0000
Ca 0.0000 0.0000 0.5000
Ca 0.0000 0.5000 0.0000
Ca 0.0000 0.5000 0.5000
Ca 0.1250 0.7500 0.8750
Ca 0.1250 0.8750 0.2500
Ca 0.2500 0.1250 0.8750
Ca 0.2500 0.6250 0.3750
Ca 0.3750 0.2500 0.6250
Ca 0.3750 0.6250 0.7500
Ca 0.5000 0.0000 0.0000
Ca 0.5000 0.0000 0.5000
Ca 0.5000 0.5000 0.0000
Ca 0.5000 0.5000 0.5000
Ca 0.6250 0.3750 0.2500
Ca 0.6250 0.7500 0.3750
Ca 0.7500 0.3750 0.6250
Ca 0.7500 0.8750 0.1250
Ca 0.8750 0.1250 0.7500
Ca 0.8750 0.2500 0.1250
Er 0.1250 0.2500 0.3750
Er 0.1250 0.3750 0.7500
Er 0.2500 0.3750 0.1250
Er 0.2500 0.8750 0.6250
Er 0.3750 0.1250 0.2500
Er 0.3750 0.7500 0.1250
Er 0.6250 0.2500 0.8750
Er 0.6250 0.8750 0.7500
Er 0.7500 0.1250 0.3750
Er 0.7500 0.6250 0.8750
Er 0.8750 0.6250 0.2500
Er 0.8750 0.7500 0.6250
H 0.0681 0.2285 0.1553
H 0.0681 0.3396 0.9129
H 0.0733 0.7285 0.6604
H 0.0733 0.8447 0.4129
H 0.0871 0.6553 0.4267
H 0.0871 0.9319 0.6604
H 0.1553 0.0681 0.2285
H 0.1553 0.5871 0.9267
H 0.1604 0.2285 0.5733
H 0.1604 0.4319 0.5871
H 0.2285 0.1553 0.0681
H 0.2285 0.5733 0.1604
H 0.2715 0.3396 0.9267
H 0.2715 0.4319 0.3447
H 0.3396 0.9129 0.0681
H 0.3396 0.9267 0.2715
H 0.3447 0.2715 0.4319
H 0.3447 0.5733 0.9129
H 0.4129 0.0733 0.8447
H 0.4129 0.8396 0.5681
H 0.4267 0.0871 0.6553
H 0.4267 0.8396 0.7715
H 0.4319 0.3447 0.2715
H 0.4319 0.5871 0.1604
H 0.5681 0.4129 0.8396
H 0.5681 0.6553 0.7285
H 0.5733 0.1604 0.2285
H 0.5733 0.9129 0.3447
H 0.5871 0.1604 0.4319
H 0.5871 0.9267 0.1553
H 0.6553 0.4267 0.0871
H 0.6553 0.7285 0.5681
H 0.6604 0.0733 0.7285
H 0.6604 0.0871 0.9319
H 0.7285 0.5681 0.6553
H 0.7285 0.6604 0.0733
H 0.7715 0.4267 0.8396
H 0.7715 0.8447 0.9319
H 0.8396 0.5681 0.4129
H 0.8396 0.7715 0.4267
H 0.8447 0.4129 0.0733
H 0.8447 0.9319 0.7715
H 0.9129 0.0681 0.3396
H 0.9129 0.3447 0.5733
H 0.9267 0.1553 0.5871
H 0.9267 0.2715 0.3396
H 0.9319 0.6604 0.0871
H 0.9319 0.7715 0.8447

***

# 6
A relaxed structure of CaErH4. Source: Alexandria via LeMat-Bulk, functional PBE.

As for the volume: 71.6 Å³ per cell. For the density of states at the Fermi level, the calculation gives 0.301 states/eV/atom. As for the space group: P4/mmm (123). The calculation puts the raw total energy at -0.1450 hartree per atom. As for the mass density: 4.900 g/cm³. Its crystal system is tetragonal.

abc: 3.6798 3.6798 5.2897
angles: 90.00 90.00 90.00
Element x y z (fractional)
Ca 0.0000 0.0000 0.0000
Er 0.5000 0.5000 0.5000
H 0.0000 0.5000 0.2639
H 0.0000 0.5000 0.7361
H 0.5000 0.0000 0.2639
H 0.5000 0.0000 0.7361

***

# 7
A relaxed structure of CaErH8Rh2. Source: Alexandria via LeMat-Bulk, functional PBE.

As for the volume: 125.1 Å³ per cell. For the density of states at the Fermi level, the calculation gives 0.163 states/eV/atom. As for the space group: R-3m (166). The calculation puts the raw total energy at -0.1555 hartree per atom. As for the mass density: 5.590 g/cm³. Its crystal system is trigonal.

abc: 9.2181 9.2181 9.2181
angles: 25.22 25.22 25.22
Element x y z (fractional)
Ca 0.0000 0.0000 0.0000
Er 0.5000 0.5000 0.5000
H 0.0194 0.0193 0.5909
H 0.0194 0.5909 0.0194
H 0.3096 0.3096 0.3096
H 0.4091 0.9807 0.9806
H 0.5909 0.0194 0.0194
H 0.6904 0.6904 0.6904
H 0.9806 0.4091 0.9806
H 0.9806 0.9806 0.4091
Rh 0.2436 0.2436 0.2436
Rh 0.7564 0.7564 0.7564

***

# 8
A relaxed structure of CaEr2Hf. Source: Alexandria via LeMat-Bulk, functional PBE.

The calculation puts the excess energy over the best structure of this formula in the dataset at 0 meV per atom. As for the volume: 121.2 Å³ per cell. For the density of states at the Fermi level, the calculation gives 1.711 states/eV/atom. As for the space group: P4/mmm (123). The calculation puts the raw total energy at -0.1889 hartree per atom. As for the mass density: 7.575 g/cm³. Its crystal system is tetragonal.

abc: 3.4527 3.4527 10.1708
angles: 90.00 90.00 90.00
Element x y z (fractional)
Ca 0.0000 0.0000 0.0000
Er 0.5000 0.5000 0.2869
Er 0.5000 0.5000 0.7131
Hf 0.0000 0.0000 0.5000

***

# 9
A relaxed structure of CaEr2Hf. Source: Alexandria via LeMat-Bulk, functional PBE.

The calculation puts the excess energy over the best structure of this formula in the dataset at 23 meV per atom. As for the volume: 359.4 Å³ per cell. For the density of states at the Fermi level, the calculation gives 1.385 states/eV/atom. As for the space group: R-3m (166). The calculation puts the raw total energy at -0.1880 hartree per atom. As for the mass density: 7.667 g/cm³. Its crystal system is trigonal.

abc: 3.4517 3.4517 34.8281
angles: 90.00 90.00 120.00
Element x y z (fractional)
Ca 0.0000 0.0000 0.0000
Ca 0.3333 0.6667 0.6667
Ca 0.6667 0.3333 0.3333
Er 0.0000 0.0000 0.2407
Er 0.0000 0.0000 0.7593
Er 0.3333 0.6667 0.4260
Er 0.3333 0.6667 0.9073
Er 0.6667 0.3333 0.0927
Er 0.6667 0.3333 0.5740
Hf 0.0000 0.0000 0.5000
Hf 0.3333 0.6667 0.1667
Hf 0.6667 0.3333 0.8333

***

# 10
A relaxed structure of Ca2ErHfO6. Source: Alexandria via LeMat-Bulk, functional PBE.

As for the volume: 274.4 Å³ per cell. For the density of states at the Fermi level, the calculation gives 0.853 states/eV/atom. As for the space group: P2_1/c (14). The calculation puts the raw total energy at -0.2913 hartree per atom. As for the mass density: 6.316 g/cm³. Its crystal system is monoclinic. The calculation puts the raw formation energy at -3.10 eV/atom.

abc: 5.7065 5.9249 9.9201
angles: 90.00 125.10 90.00
Element x y z (fractional)
Ca 0.2270 0.0542 0.2467
Ca 0.2270 0.4458 0.7467
Ca 0.7730 0.5542 0.2533
Ca 0.7730 0.9458 0.7533
Er 0.0000 0.0000 0.5000
Er 0.0000 0.5000 0.0000
Hf 0.5000 0.0000 0.0000
Hf 0.5000 0.5000 0.5000
O 0.1468 0.1952 0.9375
O 0.1468 0.3048 0.4375
O 0.2377 0.7135 0.9289
O 0.2377 0.7865 0.4289
O 0.3842 0.0539 0.7603
O 0.3842 0.4461 0.2603
O 0.6158 0.5539 0.7397
O 0.6158 0.9461 0.2397
O 0.7623 0.2135 0.5711
O 0.7623 0.2865 0.0711
O 0.8532 0.6952 0.5625
O 0.8532 0.8048 0.0625

***

# 11
A relaxed structure of CaEr2HfO6. Source: Alexandria via LeMat-Bulk, functional PBE.

As for the volume: 140.1 Å³ per cell. For the density of states at the Fermi level, the calculation gives 0.000 states/eV/atom. As for the space group: R3 (146). The calculation puts the raw total energy at -0.3145 hartree per atom. As for the mass density: 7.695 g/cm³. Its crystal system is trigonal. The calculation puts the raw formation energy at -3.48 eV/atom.

abc: 5.9827 5.9827 5.9827
angles: 56.75 56.75 56.75
Element x y z (fractional)
Ca 0.0000 0.0000 0.0000
Er 0.2182 0.2182 0.2182
Er 0.7216 0.7216 0.7216
Hf 0.5113 0.5113 0.5113
O 0.1404 0.4175 0.7907
O 0.3378 0.8942 0.5949
O 0.4175 0.7907 0.1404
O 0.5949 0.3378 0.8942
O 0.7907 0.1404 0.4175
O 0.8942 0.5949 0.3378